8
Lattice="3.109 0.000 0.000 0.000 3.273 0.000 0.000 0.000 9.320" Properties=species:S:1:pos:R:3 comment="Nb3CdB4 PBE-GGA relaxed" total_energy_ev_per_atom=-7.7565 sg="No. 47" magmom_total_mub_per_fu=0.00 crystal_system=orthorhombic pbc="T T T"
Nb 0.000 0.000 0.000
Nb 1.554 0.000 2.653
Nb 1.554 0.000 6.667
Cd 0.000 1.637 4.660
B 0.000 1.637 1.826
B 0.000 1.637 7.494
B 1.554 1.637 0.942
B 1.554 1.637 8.378